A) Here is a relaxed structure of MnNbIr3 from the Alexandria database. Energies are from GGA-PBE.

Calculated values
**Density**: 13.74 Mg/m³

Cell: 4.441 4.441 4.441 Å, 90.00 90.00 90.00°
Space group Pm-3m (No. 221)
Unique sites:
Mn 0.000 0.000 0.000
Nb 0.500 0.500 0.500
Ir 0.000 0.000 0.500

B) Here is a relaxed structure of MnNbIr3 from the Alexandria database. Energies are from GGA-PBE.

Calculated values
**Density**: 12.25 Mg/m³

Cell: 5.3493 5.3493 11.8896 Å, 90.00 90.00 120.00°
Space group R-3m (No. 166, hexagonal axes)
Unique sites:
Mn 0.0000 0.0000 0.0000
Nb 0.0000 0.0000 0.5000
Ir 0.0000 0.5000 0.5000

Computed energies relative to the best structure, in meV per atom: A) 577; B) 0

A) Here is a relaxed structure of MnNiIr from the Alexandria database. Energies are from GGA-PBE.

Calculated values
**Density**: 13.59 Mg/m³

Cell: 4.0778 4.0778 2.5946 Å, 90.00 90.00 120.00°
Space group P-6m2 (No. 187)
Unique sites:
Mn 0.0000 0.0000 0.0000
Ni 0.6667 0.3333 0.0000
Ir 0.3333 0.6667 0.5000

B) Here is a relaxed structure of MnNiIr from the Alexandria database. Energies are from GGA-PBE.

Calculated values
**Density**: 11.92 Mg/m³

Cell: 5.545 5.545 5.545 Å, 90.00 90.00 90.00°
Space group F-43m (No. 216)
Unique sites:
Mn 0.000 0.000 0.000
Ni 0.250 0.250 0.750
Ir 0.250 0.250 0.250

Computed energies relative to the best structure, in meV per atom: A) 0; B) 262